Record 1
Material: AsS2I
Method: DFT, PBE-GGA
State: relaxed

Values from the calculation:
- crystal system = trigonal
- energy relative to the elements, uncorrected (eV per atom) = 0.1173

Geometry as CIF:
```
data_AsS2I
_cell_length_a 3.9506
_cell_length_b 3.9506
_cell_length_c 23.5833
_cell_angle_alpha 90.00
_cell_angle_beta 90.00
_cell_angle_gamma 120.00
_space_group_name_H-M_alt 'R -3 m'
_space_group_IT_number 166
_space_group_name_Hall '-R 3 2"'
loop_
_atom_site_label
_atom_site_type_symbol
_atom_site_fract_x
_atom_site_fract_y
_atom_site_fract_z
As1 As 0.0000 0.0000 0.0000
S1 S 0.0000 0.0000 0.3892
I1 I 0.0000 0.0000 0.5000
```



Record 2
Material: Y5Hg4Rh
Method: DFT, PBE-GGA
State: relaxed

Values from the calculation:
- crystal system = tetragonal
- formation energy (meV/atom) = -573

Geometry as CIF:
```
data_Y5Hg4Rh
_cell_length_a 3.635
_cell_length_b 3.635
_cell_length_c 18.704
_cell_angle_alpha 90.00
_cell_angle_beta 90.00
_cell_angle_gamma 90.00
_space_group_name_H-M_alt 'P 4/m m m'
_space_group_IT_number 123
_space_group_name_Hall '-P 4 2'
loop_
_atom_site_label
_atom_site_type_symbol
_atom_site_fract_x
_atom_site_fract_y
_atom_site_fract_z
Y1 Y 0.000 0.000 0.000
Y2 Y 0.000 0.000 0.206
Y3 Y 0.000 0.000 0.413
Hg1 Hg 0.500 0.500 0.103
Hg2 Hg 0.500 0.500 0.307
Rh1 Rh 0.500 0.500 0.500
```



Record 3
Material: Tc3Pb
Method: DFT, PBE-GGA
State: relaxed

Values from the calculation:
- crystal system = tetragonal
- formation energy (meV/atom) = 587

Geometry as CIF:
```
data_Tc3Pb
_cell_length_a 3.900
_cell_length_b 3.900
_cell_length_c 8.658
_cell_angle_alpha 90.00
_cell_angle_beta 90.00
_cell_angle_gamma 90.00
_space_group_name_H-M_alt 'I 4/m m m'
_space_group_IT_number 139
_space_group_name_Hall '-I 4 2'
loop_
_atom_site_label
_atom_site_type_symbol
_atom_site_fract_x
_atom_site_fract_y
_atom_site_fract_z
Tc1 Tc 0.000 0.000 0.000
Tc2 Tc 0.000 0.500 0.250
Pb1 Pb 0.000 0.000 0.500
```



Record 4
Material: Rb2PuAg2Se4
Method: DFT, PBE-GGA
State: relaxed

Values from the calculation:
- crystal system = monoclinic
- energy relative to the elements, uncorrected (eV per atom) = -0.9452

Geometry as CIF:
```
data_Rb2PuAg2Se4
_cell_length_a 15.581
_cell_length_b 4.304
_cell_length_c 8.212
_cell_angle_alpha 90.00
_cell_angle_beta 109.13
_cell_angle_gamma 90.00
_space_group_name_H-M_alt 'C 1 2/m 1'
_space_group_IT_number 12
_space_group_name_Hall '-C 2y'
loop_
_atom_site_label
_atom_site_type_symbol
_atom_site_fract_x
_atom_site_fract_y
_atom_site_fract_z
Rb1 Rb 0.135 0.000 0.071
Pu1 Pu 0.000 0.000 0.500
Ag1 Ag 0.180 0.500 0.483
Se1 Se 0.010 0.500 0.271
Se2 Se 0.191 0.000 0.689
```